No. 1
{
  "formula": "TcIrSe",
  "functional": "PBEsol",
  "state": "optimized geometry",
  "raw_formation_energy_ev_per_atom": 0.30,
  "total_magnetization_mub_per_fu": 0.00,
  "e_tot_ev_per_atom": -8.018,
  "lattice": [[-2.8010, 0.6269, -0.8747], [-0.1007, -3.5034, -2.1885], [-1.2301, 0.0079, 3.9446]],
  "species": ["Ir", "Se", "Tc"],
  "frac_coords": [[0.9597, 0.0000, 0.0000], [0.5947, 0.6667, 0.3333], [0.4455, 0.3333, 0.6667]]
}

No. 2
{
  "formula": "TcIrSe2",
  "functional": "PBEsol",
  "state": "optimized geometry",
  "raw_formation_energy_ev_per_atom": 0.46,
  "de_polymorph_mev_per_atom": 151.9,
  "total_magnetization_mub_per_fu": 0.00,
  "e_tot_ev_per_atom": -6.741,
  "lattice": [[-2.4088, 0.2616, -1.1476], [1.8906, -1.7501, -4.3673], [-1.7022, -3.9603, 2.6701]],
  "species": ["Ir", "Se", "Se", "Tc"],
  "frac_coords": [[0.0000, 0.0000, 0.0000], [0.0000, 0.0000, 0.5000], [0.0000, 0.5000, 0.0000], [0.0000, 0.5000, 0.5000]]
}

No. 3
{
  "formula": "TcIrSe2",
  "functional": "PBEsol",
  "state": "optimized geometry",
  "raw_formation_energy_ev_per_atom": 0.31,
  "de_polymorph_mev_per_atom": 0.0,
  "total_magnetization_mub_per_fu": 0.00,
  "e_tot_ev_per_atom": -6.892,
  "lattice": [[-2.1668, 0.4453, -5.0169], [-4.0434, -3.4101, 1.4437], [0.1131, 5.7371, 3.4565]],
  "species": ["Ir", "Ir", "Tc", "Tc", "Se", "Se", "Se", "Se"],
  "frac_coords": [[0.2500, 0.7500, 0.5000], [0.0000, 0.0000, 0.0000], [0.7500, 0.2500, 0.5000], [0.5000, 0.5000, 0.0000], [0.8720, 0.3750, 0.2500], [0.3780, 0.8750, 0.2500], [0.6250, 0.6220, 0.7500], [0.1250, 0.1280, 0.7500]]
}

No. 4
{
  "formula": "Tc2IrSe2",
  "functional": "PBEsol",
  "state": "optimized geometry",
  "raw_formation_energy_ev_per_atom": 0.54,
  "total_magnetization_mub_per_fu": 0.00,
  "e_tot_ev_per_atom": -7.471,
  "lattice": [[-1.8222, 1.4896, -2.9621], [-3.1399, -1.8607, 0.9958], [0.9041, 4.5369, 4.1415]],
  "species": ["Ir", "Tc", "Tc", "Se", "Se"],
  "frac_coords": [[0.0000, 0.0000, 0.0000], [0.3932, 0.3932, 0.7864], [0.6068, 0.6068, 0.2136], [0.2500, 0.7500, 0.5000], [0.7500, 0.2500, 0.5000]]
}

No. 5
{
  "formula": "TcIrSe2",
  "functional": "PBEsol",
  "state": "optimized geometry",
  "raw_formation_energy_ev_per_atom": 0.64,
  "de_polymorph_mev_per_atom": 337.6,
  "total_magnetization_mub_per_fu": 0.00,
  "e_tot_ev_per_atom": -6.555,
  "lattice": [[-0.2209, 2.8113, -0.4214], [-2.3074, -1.4525, 0.8342], [2.1407, 1.4287, 8.4092]],
  "species": ["Ir", "Se", "Se", "Tc"],
  "frac_coords": [[0.5000, 0.5000, 0.0000], [0.0000, 0.0000, 0.2594], [0.0000, 0.0000, 0.7406], [0.5000, 0.5000, 0.5000]]
}

No. 6
{
  "formula": "TeIr2Se2",
  "functional": "PBEsol",
  "state": "optimized geometry",
  "raw_formation_energy_ev_per_atom": 0.61,
  "total_magnetization_mub_per_fu": 0.00,
  "e_tot_ev_per_atom": -5.561,
  "lattice": [[-2.1426, -0.8876, -1.8228], [4.9213, 0.7723, -6.1610], [2.3312, -7.5162, 0.9199]],
  "species": ["Ir", "Ir", "Ir", "Ir", "Te", "Te", "Se", "Se", "Se", "Se"],
  "frac_coords": [[0.5000, 0.1230, 0.6230], [0.5000, 0.6230, 0.8770], [0.5000, 0.8770, 0.3770], [0.5000, 0.3770, 0.1230], [0.0000, 0.0000, 0.0000], [0.0000, 0.5000, 0.5000], [0.0000, 0.3544, 0.8544], [0.0000, 0.8544, 0.6456], [0.0000, 0.6456, 0.1456], [0.0000, 0.1456, 0.3544]]
}

No. 7
{
  "formula": "TeIr4Se",
  "functional": "PBEsol",
  "state": "optimized geometry",
  "raw_formation_energy_ev_per_atom": 0.84,
  "total_magnetization_mub_per_fu": 0.00,
  "e_tot_ev_per_atom": -6.936,
  "lattice": [[-0.6052, 3.1233, -4.1804], [0.0812, -2.0432, -4.8390], [-4.4200, -0.2265, -2.8301]],
  "species": ["Ir", "Ir", "Ir", "Ir", "Se", "Te"],
  "frac_coords": [[0.3751, 0.3751, 0.3751], [0.3751, 0.3751, 0.8748], [0.8748, 0.3751, 0.3751], [0.3751, 0.8748, 0.3751], [0.7500, 0.7500, 0.7500], [0.0000, 0.0000, 0.0000]]
}

No. 8
{
  "formula": "TeIrSe2",
  "functional": "PBEsol",
  "state": "optimized geometry",
  "raw_formation_energy_ev_per_atom": -0.04,
  "total_magnetization_mub_per_fu": 0.00,
  "e_tot_ev_per_atom": -5.307,
  "lattice": [[3.5704, 0.0000, 0.0000], [1.7852, 3.0920, 0.0000], [1.7852, 1.0307, 7.8687]],
  "species": ["Ir", "Se", "Se", "Te"],
  "frac_coords": [[0.0000, 0.0000, 0.0000], [0.2751, 0.2751, 0.1746], [0.7249, 0.7249, 0.8254], [0.5000, 0.5000, 0.5000]]
}

No. 9
{
  "formula": "TeIrSe3",
  "functional": "PBEsol",
  "state": "optimized geometry",
  "raw_formation_energy_ev_per_atom": 0.42,
  "de_polymorph_mev_per_atom": 0.0,
  "total_magnetization_mub_per_fu": 0.00,
  "e_tot_ev_per_atom": -4.559,
  "lattice": [[-1.1986, -4.3490, -1.7599], [4.1623, -1.8239, 1.6723], [-2.1649, -1.0988, 4.1898]],
  "species": ["Ir", "Te", "Se", "Se", "Se"],
  "frac_coords": [[0.0000, 0.0000, 0.0000], [0.5000, 0.5000, 0.5000], [0.0000, 0.5000, 0.0000], [0.0000, 0.0000, 0.5000], [0.5000, 0.0000, 0.0000]]
}

No. 10
{
  "formula": "TeIrSe2",
  "functional": "PBEsol",
  "state": "optimized geometry",
  "raw_formation_energy_ev_per_atom": 0.63,
  "total_magnetization_mub_per_fu": 0.00,
  "e_tot_ev_per_atom": -4.629,
  "lattice": [[3.3244, 0.0000, 0.0000], [0.0000, 4.7232, 0.0000], [0.0000, 0.0000, 4.7232]],
  "species": ["Ir", "Se", "Se", "Te"],
  "frac_coords": [[0.5000, 0.0000, 0.0000], [0.0000, 0.0000, 0.5000], [0.0000, 0.5000, 0.0000], [0.5000, 0.5000, 0.5000]]
}

No. 11
{
  "formula": "TeIrW2Se",
  "functional": "PBEsol",
  "state": "optimized geometry",
  "raw_formation_energy_ev_per_atom": 2.47,
  "total_magnetization_mub_per_fu": 0.05,
  "e_tot_ev_per_atom": -6.488,
  "lattice": [[4.7147, 0.0000, 0.0000], [0.0000, 4.9058, 0.0000], [0.0000, 0.0000, 4.9058]],
  "species": ["Ir", "Te", "Se", "W", "W"],
  "frac_coords": [[0.5000, 0.0000, 0.0000], [0.0000, 0.0000, 0.0000], [0.5000, 0.5000, 0.5000], [0.0000, 0.0000, 0.5000], [0.0000, 0.5000, 0.0000]]
}

No. 12
{
  "formula": "TiIrSe2",
  "functional": "PBEsol",
  "state": "optimized geometry",
  "raw_formation_energy_ev_per_atom": -0.25,
  "de_polymorph_mev_per_atom": 69.7,
  "total_magnetization_mub_per_fu": 0.00,
  "e_tot_ev_per_atom": -6.710,
  "lattice": [[4.4414, 0.0000, 0.0000], [2.2207, 3.8463, 0.0000], [2.2207, 1.2821, 3.6264]],
  "species": ["Ir", "Se", "Se", "Ti"],
  "frac_coords": [[0.5000, 0.5000, 0.5000], [0.2500, 0.2500, 0.2500], [0.7500, 0.7500, 0.7500], [0.0000, 0.0000, 0.0000]]
}